## Re2AgOs2 (PBE)

Data for a geometry-optimized Re2AgOs2 structure.

Values from the calculation:
Formation enthalpy at 0 K ... 154.8 kJ/mol of formula units
M_tot ... 0.00 μB per formula unit
Total energy ... -9.720 eV per atom

POSCAR file:
```
Re2AgOs2
1.0
7.6404 0.0000 0.0000
0.0000 7.6404 0.0000
0.0000 0.0000 2.7579
Re Ag Os
4 2 4
Direct
0.1638 0.3362 0.0000 Re
0.3362 0.8362 0.0000 Re
0.6638 0.1638 0.0000 Re
0.8362 0.6638 0.0000 Re
0.0000 0.0000 0.5000 Ag
0.5000 0.5000 0.5000 Ag
0.1262 0.6262 0.5000 Os
0.3738 0.1262 0.5000 Os
0.6262 0.8738 0.5000 Os
0.8738 0.3738 0.5000 Os
```


## ReAg3Os (PBE)

Data for a geometry-optimized ReAg3Os structure.

Values from the calculation:
Formation enthalpy at 0 K ... 1177.8 kJ/mol of formula units
E above lowest polymorph ... 0 meV/atom
M_tot ... 6.50 μB per formula unit
Total energy ... -4.005 eV per atom

POSCAR file:
```
ReAg3Os
1.0
5.0165 0.0000 0.0000
0.0000 5.0165 0.0000
0.0000 0.0000 5.0165
Re Ag Os
1 3 1
Direct
0.0000 0.0000 0.0000 Re
0.0000 0.5000 0.5000 Ag
0.5000 0.0000 0.5000 Ag
0.5000 0.5000 0.0000 Ag
0.5000 0.5000 0.5000 Os
```


## ReAgOs2S (PBE)

Data for a geometry-optimized ReAgOs2S structure.

Values from the calculation:
M_tot ... 2.27 μB per formula unit
Total energy ... -6.799 eV per atom

POSCAR file:
```
ReAgOs2S
1.0
4.3278 0.0000 0.0000
0.0000 4.3278 0.0000
0.0000 0.0000 4.5511
Re Ag Os S
1 1 2 1
Direct
0.0000 0.0000 0.0000 Re
0.5000 0.5000 0.0000 Ag
0.0000 0.5000 0.5000 Os
0.5000 0.0000 0.5000 Os
0.5000 0.5000 0.5000 S
```


## ReAgSbOs2 (PBE)

Data for a geometry-optimized ReAgSbOs2 structure.

Values from the calculation:
M_tot ... 2.32 μB per formula unit
Total energy ... -5.843 eV per atom

POSCAR file:
```
ReAgSbOs2
1.0
4.8230 0.0000 0.0000
0.0000 4.8230 0.0000
0.0000 0.0000 4.8871
Re Ag Sb Os
1 1 1 2
Direct
0.0000 0.0000 0.0000 Re
0.5000 0.5000 0.0000 Ag
0.0000 0.0000 0.5000 Sb
0.0000 0.5000 0.5000 Os
0.5000 0.0000 0.5000 Os
```


## Tl2ReAgOs (PBE)

Data for a geometry-optimized Tl2ReAgOs structure.

Values from the calculation:
Formation enthalpy at 0 K ... 1159.0 kJ/mol of formula units
M_tot ... 5.08 μB per formula unit
Total energy ... -3.850 eV per atom

POSCAR file:
```
Tl2ReAgOs
1.0
5.0565 0.0000 0.0000
0.0000 5.0565 0.0000
0.0000 0.0000 5.1559
Tl Re Ag Os
2 1 1 1
Direct
0.0000 0.5000 0.0000 Tl
0.5000 0.0000 0.0000 Tl
0.0000 0.0000 0.5000 Re
0.0000 0.0000 0.0000 Ag
0.5000 0.5000 0.5000 Os
```


## TlReAgOs2 (PBE)

Data for a geometry-optimized TlReAgOs2 structure.

Values from the calculation:
Formation enthalpy at 0 K ... 1581.8 kJ/mol of formula units
M_tot ... 4.74 μB per formula unit
Total energy ... -4.746 eV per atom

POSCAR file:
```
TlReAgOs2
1.0
4.9548 0.0000 0.0000
0.0000 4.9548 0.0000
0.0000 0.0000 5.0140
Tl Re Ag Os
1 1 1 2
Direct
0.0000 0.0000 0.0000 Tl
0.0000 0.0000 0.5000 Re
0.5000 0.5000 0.5000 Ag
0.0000 0.5000 0.0000 Os
0.5000 0.0000 0.0000 Os
```